No. 1
A geometry-optimized Ba2AgPdO4 structure, computed with PBE.

Lattice parameters (Å, degrees): 5.686 5.686 5.686 105.60 111.44 111.44
Last column: magnetic moment on the atom in μB.
Positions (direct):
O: 0.935 0.458 0.042  0.13
Pd: 0.500 0.250 0.750  0.35
Ag: 0.000 0.500 0.500  0.10
O: 0.584 0.478 0.542  0.13
Ba: 0.500 0.750 0.250  0.00
O: 0.065 0.107 0.522  0.13
O: 0.416 0.958 0.893  0.13
Ba: 0.000 0.000 0.000  0.00

space group	I-4
volume	141	Å³ per cell
E_form (uncorrected)	-1.32	eV/atom



No. 2
A geometry-optimized TaAlTe2 structure, computed with PBE.

Lattice parameters (Å, degrees): 3.425 3.425 7.708 90.00 90.00 90.00
Positions (direct):
Te: 0.000 0.000 0.967
Al: 0.500 0.500 0.250
Ta: 0.500 0.500 0.750
Te: 0.000 0.000 0.533

space group	P4/mmm
volume	90	Å³ per cell
E_form (uncorrected)	0.07	eV/atom



No. 3
A geometry-optimized NiAuBr2 structure, computed with PBE.

Lattice parameters (Å, degrees): 4.869 4.869 3.477 90.00 90.00 90.00
Last column: magnetic moment on the atom in μB.
Positions (direct):
Au: 0.000 0.500 0.500  0.00
Br: 0.000 0.000 0.000  0.08
Br: 0.500 0.500 0.000  0.08
Ni: 0.500 0.000 0.500  0.92

space group	P4/mmm
volume	82	Å³ per cell
E_form (uncorrected)	0.55	eV/atom